1.
DFT (meta-GGA SCAN) results for TcTeCl2 at its PBEsol-relaxed geometry.

Lattice parameters (Å, degrees): 6.472 6.472 6.472 152.22 138.16 50.97
Fractional positions:
1 Tc 0.000 0.000 0.000
2 Te 0.174 0.674 0.500
3 Cl 0.496 0.496 0.000
4 Cl 0.823 0.323 0.500

Calculated values
* polymorph energy (0 for the lowest one): 0.000 eV per atom
* formation energy from raw total energies: 0.048 eV per atom

2.
DFT (meta-GGA SCAN) results for Sb2RhAu at its PBEsol-relaxed geometry.

Lattice parameters (Å, degrees): 7.951 7.951 7.951 25.29 25.29 25.29
Fractional positions:
1 Sb 0.243 0.243 0.243
2 Sb 0.757 0.757 0.757
3 Rh 0.500 0.500 0.500
4 Au 0.000 0.000 0.000

Calculated values
* formation energy from raw total energies: -0.158 eV per atom

no.,calculated density (g/cm³),raw total energy (eV per atom)
1,5.87,-22.019
2,11.18,-44.520